w.
Computed, not measured: crystalline IrS2Br at its relaxed geometry at the GGA-PBE level of DFT.

Lattice parameters (Å, degrees): 3.6285 6.9509 8.0637 78.47 77.20 62.50
Fractional positions:
S (0.8074, 0.1423, 0.4105)
S (0.1092, 0.5663, 0.2558)
S (0.2258, 0.8259, 0.5561)
S (0.6346, 0.3370, 0.6113)
Br (0.6034, 0.1285, 0.0415)
Br (0.7150, 0.6377, 0.8919)
Ir (0.8444, 0.3558, 0.1668)
Ir (0.9455, 0.5836, 0.5518)

Summary:
DOS at the Fermi energy: 0.00 states/eV/f.u.
Calculated volume: 87.40 Å³/f.u.
Total moment: 0.000 μB/atom

x.
Computed, not measured: crystalline IrS2Br at its relaxed geometry at the GGA-PBE level of DFT.

Lattice parameters (Å, degrees): 6.7425 8.7041 6.7304 90.00 90.00 90.00
Fractional positions:
Ir (0.4599, 0.8756, 0.4851)
Ir (0.9599, 0.6244, 0.4851)
Ir (0.0401, 0.3756, 0.9851)
Ir (0.5401, 0.1244, 0.9851)
S (0.8573, 0.1739, 0.0671)
S (0.0444, 0.4151, 0.6560)
S (0.6427, 0.6739, 0.5671)
S (0.3573, 0.3261, 0.0671)
S (0.1427, 0.8261, 0.5671)
S (0.4556, 0.9151, 0.1560)
S (0.9556, 0.5849, 0.1560)
S (0.5444, 0.0849, 0.6560)
Br (0.9661, 0.8758, 0.0416)
Br (0.4661, 0.6242, 0.0416)
Br (0.0339, 0.1242, 0.5416)
Br (0.5339, 0.3758, 0.5416)

Summary:
DOS at the Fermi energy: 1.54 states/eV/f.u.
Calculated volume: 98.75 Å³/f.u.
Total moment: 0.000 μB/atom

Name the most stable of them. w.

w.
Computed, not measured: crystalline IrS2Br at its relaxed geometry at the GGA-PBE level of DFT.

Lattice parameters (Å, degrees): 14.3130 3.6282 8.3850 90.00 113.21 90.00
Fractional positions:
S (0.4295, 0.7359, 0.3501)
S (0.0705, 0.2359, 0.1499)
S (0.5705, 0.2641, 0.6499)
S (0.4696, 0.2004, 0.0503)
S (0.9295, 0.7641, 0.8501)
S (0.0304, 0.7004, 0.4497)
S (0.5304, 0.7996, 0.9497)
S (0.9696, 0.2996, 0.5503)
Ir (0.9646, 0.7334, 0.1517)
Ir (0.0354, 0.2666, 0.8483)
Ir (0.4646, 0.7666, 0.6517)
Ir (0.5354, 0.2334, 0.3483)
Br (0.8286, 0.2299, 0.1086)
Br (0.1714, 0.7701, 0.8914)
Br (0.3286, 0.2701, 0.6086)
Br (0.6714, 0.7299, 0.3914)

Summary:
DOS at the Fermi energy: 1.58 states/eV/f.u.
Calculated volume: 100.05 Å³/f.u.
Total moment: 0.000 μB/atom

x.
Computed, not measured: crystalline IrS2Br at its relaxed geometry at the GGA-PBE level of DFT.

Lattice parameters (Å, degrees): 19.9580 6.9400 6.9400 90.50 85.83 94.17
Fractional positions:
S (0.7500, 0.5422, 0.0422)
S (0.2500, 0.4578, 0.9578)
S (0.6306, 0.2847, 0.3290)
S (0.2309, 0.4909, 0.4493)
S (0.3694, 0.7153, 0.6710)
S (0.6160, 0.7774, 0.3785)
S (0.2691, 0.9493, 0.9909)
S (0.7309, 0.0507, 0.0091)
S (0.8840, 0.8785, 0.2774)
S (0.1160, 0.1215, 0.7226)
S (0.7691, 0.5091, 0.5507)
S (0.7500, 0.0811, 0.5811)
S (0.1306, 0.1710, 0.2153)
S (0.3840, 0.2226, 0.6215)
S (0.2500, 0.9189, 0.4189)
S (0.8694, 0.8290, 0.7847)
Ir (0.1972, 0.1718, 0.9331)
Ir (0.6936, 0.0242, 0.3169)
Ir (0.8028, 0.8282, 0.0669)
Ir (0.1936, 0.1831, 0.4758)
Ir (0.8064, 0.8169, 0.5242)
Ir (0.3028, 0.4331, 0.6718)
Ir (0.6972, 0.5669, 0.3282)
Ir (0.3064, 0.9758, 0.6831)
Br (0.3790, 0.6797, 0.1589)
Br (0.1210, 0.6589, 0.1797)
Br (0.6210, 0.3203, 0.8411)
Br (0.9924, 0.7520, 0.2502)
Br (0.8790, 0.3411, 0.8203)
Br (0.0076, 0.2480, 0.7498)
Br (0.5076, 0.7502, 0.2520)
Br (0.4924, 0.2498, 0.7480)

Summary:
DOS at the Fermi energy: 1.61 states/eV/f.u.
Calculated volume: 119.52 Å³/f.u.
Total moment: 0.000 μB/atom

y.
Computed, not measured: crystalline IrS2Br at its relaxed geometry at the GGA-PBE level of DFT.

Lattice parameters (Å, degrees): 6.3921 8.2335 8.2335 31.93 97.43 82.57
Fractional positions:
S (0.1662, 0.6955, 0.6808)
S (0.3338, 0.1808, 0.1955)
S (0.8338, 0.3045, 0.3192)
S (0.6662, 0.8192, 0.8045)
Br (0.2500, 0.6526, 0.1526)
Br (0.7500, 0.3474, 0.8474)
Ir (0.2500, 0.0514, 0.5514)
Ir (0.7500, 0.9486, 0.4486)

Summary:
DOS at the Fermi energy: 0.00 states/eV/f.u.
Calculated volume: 101.14 Å³/f.u.
Total moment: 0.000 μB/atom

Name the most stable of them. w.

w.
Computed, not measured: crystalline IrS2Br at its relaxed geometry at the GGA-PBE level of DFT.

Lattice parameters (Å, degrees): 7.4659 7.4659 7.4659 28.52 28.52 28.52
Fractional positions:
S (0.1154, 0.1154, 0.1154)
S (0.8846, 0.8846, 0.8846)
Ir (0.5000, 0.5000, 0.5000)
Br (0.0000, 0.0000, 0.0000)

Summary:
DOS at the Fermi energy: 0.00 states/eV/f.u.
Calculated volume: 83.83 Å³/f.u.
Total moment: 0.000 μB/atom

x.
Computed, not measured: crystalline IrS2Br at its relaxed geometry at the GGA-PBE level of DFT.

Lattice parameters (Å, degrees): 20.5364 5.1445 9.4261 90.00 150.77 90.00
Fractional positions:
Br (0.1260, 0.4540, 0.0157)
Br (0.3740, 0.9540, 0.4843)
Br (0.6260, 0.0460, 0.5157)
Br (0.8740, 0.5460, 0.9843)
Ir (0.2520, 0.7033, 0.4388)
Ir (0.7480, 0.2967, 0.5612)
Ir (0.7520, 0.7967, 0.9388)
Ir (0.2480, 0.2033, 0.0612)
S (0.3140, 0.3734, 0.6823)
S (0.1926, 0.0329, 0.4533)
S (0.6926, 0.4671, 0.9533)
S (0.8140, 0.1266, 0.1823)
S (0.3074, 0.5329, 0.0467)
S (0.8074, 0.9671, 0.5467)
S (0.6860, 0.6266, 0.3177)
S (0.1860, 0.8734, 0.8177)

Summary:
DOS at the Fermi energy: 1.97 states/eV/f.u.
Calculated volume: 121.58 Å³/f.u.
Total moment: 0.000 μB/atom

Name the most stable of them. w.

w.
Computed, not measured: crystalline IrS2Br at its relaxed geometry at the GGA-PBE level of DFT.

Lattice parameters (Å, degrees): 8.6831 8.6831 8.6831 25.19 25.19 25.19
Fractional positions:
S (0.5940, 0.5940, 0.5940)
S (0.1465, 0.1465, 0.1465)
Br (0.9994, 0.9994, 0.9994)
Ir (0.5111, 0.5111, 0.5111)

Summary:
DOS at the Fermi energy: 0.00 states/eV/f.u.
Calculated volume: 104.38 Å³/f.u.
Total moment: 0.000 μB/atom

x.
Computed, not measured: crystalline IrS2Br at its relaxed geometry at the GGA-PBE level of DFT.

Lattice parameters (Å, degrees): 5.8634 6.7725 7.7125 128.40 64.36 89.09
Fractional positions:
S (0.8351, 0.2750, 0.2560)
S (0.1028, 0.9923, 0.1955)
S (0.6437, 0.9505, 0.8114)
S (0.2683, 0.6032, 0.5171)
Br (0.3374, 0.2265, 0.6517)
Br (0.6637, 0.6103, 0.9660)
Ir (0.4672, 0.1363, 0.2267)
Ir (0.4673, 0.6342, 0.7254)

Summary:
DOS at the Fermi energy: 0.04 states/eV/f.u.
Calculated volume: 99.02 Å³/f.u.
Total moment: 0.000 μB/atom

y.
Computed, not measured: crystalline IrS2Br at its relaxed geometry at the GGA-PBE level of DFT.

Lattice parameters (Å, degrees): 3.5828 5.5457 9.9007 100.24 94.95 89.98
Fractional positions:
Br (0.7575, 0.6891, 0.8036)
Br (0.0912, 0.3421, 0.1204)
S (0.6120, 0.8855, 0.2087)
S (0.1706, 0.2667, 0.4531)
S (0.6538, 0.7307, 0.3834)
S (0.7254, 0.0004, 0.6842)
Ir (0.6348, 0.2941, 0.3029)
Ir (0.1886, 0.8827, 0.5294)

Summary:
DOS at the Fermi energy: 0.96 states/eV/f.u.
Calculated volume: 96.42 Å³/f.u.
Total moment: 0.000 μB/atom

z.
Computed, not measured: crystalline IrS2Br at its relaxed geometry at the GGA-PBE level of DFT.

Lattice parameters (Å, degrees): 4.5296 4.5296 4.5296 60.00 60.00 60.00
Fractional positions:
S (0.2500, 0.2500, 0.2500)
S (0.7500, 0.7500, 0.7500)
Br (0.0000, 0.0000, 0.0000)
Ir (0.5000, 0.5000, 0.5000)

Summary:
DOS at the Fermi energy: 3.43 states/eV/f.u.
Calculated volume: 65.72 Å³/f.u.
Total moment: 0.000 μB/atom

Name the most stable of them. y.

w.
Computed, not measured: crystalline IrS2Br at its relaxed geometry at the GGA-PBE level of DFT.

Lattice parameters (Å, degrees): 9.1153 9.1153 6.9848 49.27 49.27 90.00
Fractional positions:
Br (0.7500, 0.7500, 0.5000)
Br (0.2500, 0.2500, 0.5000)
S (0.6397, 0.8603, 0.0000)
S (0.8603, 0.3603, 0.0000)
S (0.3603, 0.1397, 0.0000)
S (0.1397, 0.6397, 0.0000)
Ir (0.2500, 0.7500, 0.5000)
Ir (0.7500, 0.2500, 0.5000)

Summary:
DOS at the Fermi energy: 1.09 states/eV/f.u.
Calculated volume: 111.81 Å³/f.u.
Total moment: 0.000 μB/atom

x.
Computed, not measured: crystalline IrS2Br at its relaxed geometry at the GGA-PBE level of DFT.

Lattice parameters (Å, degrees): 3.7898 3.7898 7.8344 90.00 90.00 120.00
Fractional positions:
S (0.3333, 0.6667, 0.7141)
S (0.6667, 0.3333, 0.3469)
Ir (0.3333, 0.6667, 0.4475)
Br (0.0000, 0.0000, 0.9465)

Summary:
DOS at the Fermi energy: 0.99 states/eV/f.u.
Calculated volume: 97.45 Å³/f.u.
Total moment: 0.000 μB/atom

y.
Computed, not measured: crystalline IrS2Br at its relaxed geometry at the GGA-PBE level of DFT.

Lattice parameters (Å, degrees): 3.5180 9.0482 8.0518 123.33 77.38 101.12
Fractional positions:
Br (0.9914, 0.6072, 0.4516)
Br (0.3526, 0.1771, 0.3024)
S (0.6925, 0.7609, 0.2017)
S (0.5924, 0.3439, 0.9883)
S (0.6713, 0.1946, 0.6826)
S (0.2996, 0.5487, 0.7770)
Ir (0.1524, 0.5672, 0.0898)
Ir (0.8185, 0.3774, 0.5693)

Summary:
DOS at the Fermi energy: 1.13 states/eV/f.u.
Calculated volume: 104.07 Å³/f.u.
Total moment: 0.116 μB/atom

Name the most stable of them. y.

w.
Computed, not measured: crystalline IrS2Br at its relaxed geometry at the GGA-PBE level of DFT.

Lattice parameters (Å, degrees): 10.0710 3.5914 11.7264 90.00 90.00 90.00
Fractional positions:
S (0.1046, 0.2500, 0.9259)
S (0.8954, 0.7500, 0.0741)
S (0.8305, 0.2500, 0.8225)
S (0.3305, 0.2500, 0.6775)
S (0.6046, 0.2500, 0.5741)
S (0.3954, 0.7500, 0.4259)
S (0.6695, 0.7500, 0.3225)
S (0.1695, 0.7500, 0.1775)
Ir (0.4540, 0.7500, 0.6174)
Ir (0.5460, 0.2500, 0.3826)
Ir (0.9540, 0.7500, 0.8826)
Ir (0.0460, 0.2500, 0.1174)
Br (0.8856, 0.7500, 0.3899)
Br (0.6144, 0.2500, 0.8899)
Br (0.3856, 0.7500, 0.1101)
Br (0.1144, 0.2500, 0.6101)

Summary:
DOS at the Fermi energy: 0.00 states/eV/f.u.
Calculated volume: 106.03 Å³/f.u.
Total moment: 0.000 μB/atom

x.
Computed, not measured: crystalline IrS2Br at its relaxed geometry at the GGA-PBE level of DFT.

Lattice parameters (Å, degrees): 7.9804 7.0911 7.0911 56.93 110.89 69.11
Fractional positions:
Br (0.2500, 0.0590, 0.5590)
Br (0.7500, 0.9410, 0.4410)
S (0.5530, 0.5096, 0.2688)
S (0.0530, 0.2312, 0.9904)
S (0.4470, 0.4904, 0.7312)
S (0.9470, 0.7688, 0.0096)
Ir (0.7500, 0.2607, 0.7607)
Ir (0.2500, 0.7393, 0.2393)

Summary:
DOS at the Fermi energy: 5.20 states/eV/f.u.
Calculated volume: 111.59 Å³/f.u.
Total moment: 0.000 μB/atom

y.
Computed, not measured: crystalline IrS2Br at its relaxed geometry at the GGA-PBE level of DFT.

Lattice parameters (Å, degrees): 6.5574 6.5574 6.4029 59.20 59.20 90.00
Fractional positions:
Br (0.5000, 0.5000, 0.0000)
Br (0.2500, 0.7500, 0.5000)
S (0.3750, 0.2828, 0.7500)
S (0.0328, 0.6250, 0.2500)
S (0.8750, 0.9672, 0.7500)
S (0.7172, 0.1250, 0.2500)
Ir (0.7500, 0.2500, 0.5000)
Ir (0.0000, 0.0000, 0.0000)

Summary:
DOS at the Fermi energy: 0.61 states/eV/f.u.
Calculated volume: 94.94 Å³/f.u.
Total moment: 0.000 μB/atom

z.
Computed, not measured: crystalline IrS2Br at its relaxed geometry at the GGA-PBE level of DFT.

Lattice parameters (Å, degrees): 7.8592 3.5341 3.5341 119.99 103.44 76.56
Fractional positions:
Br (0.5000, 0.5000, 0.5000)
S (0.8383, 0.7225, 0.2775)
S (0.1617, 0.2775, 0.7225)
Ir (0.0000, 0.0000, 0.0000)

Summary:
DOS at the Fermi energy: 4.62 states/eV/f.u.
Calculated volume: 81.90 Å³/f.u.
Total moment: 0.000 μB/atom

Name the most stable of them. w.

w.
Computed, not measured: crystalline IrS2Br at its relaxed geometry at the GGA-PBE level of DFT.

Lattice parameters (Å, degrees): 3.5654 9.2153 5.6995 81.50 90.96 90.86
Fractional positions:
Br (0.2968, 0.1241, 0.6339)
Br (0.5443, 0.7285, 0.4129)
S (0.8124, 0.2254, 0.0915)
S (0.3089, 0.4715, 0.7484)
S (0.8383, 0.7272, 0.9678)
S (0.8287, 0.4111, 0.2630)
Ir (0.3363, 0.5698, 0.0965)
Ir (0.8052, 0.3194, 0.6947)

Summary:
DOS at the Fermi energy: 2.14 states/eV/f.u.
Calculated volume: 92.58 Å³/f.u.
Total moment: 0.000 μB/atom

x.
Computed, not measured: crystalline IrS2Br at its relaxed geometry at the GGA-PBE level of DFT.

Lattice parameters (Å, degrees): 6.6484 6.6484 5.5589 53.27 53.27 90.00
Fractional positions:
Br (0.7500, 0.2500, 0.5000)
Br (0.2500, 0.7500, 0.5000)
S (0.2500, 0.7500, 0.0000)
S (0.7500, 0.2500, 0.0000)
S (0.7500, 0.7500, 0.0000)
S (0.2500, 0.2500, 0.0000)
Ir (0.7500, 0.7500, 0.5000)
Ir (0.2500, 0.2500, 0.5000)

Summary:
DOS at the Fermi energy: 2.64 states/eV/f.u.
Calculated volume: 65.57 Å³/f.u.
Total moment: 0.000 μB/atom

Name the most stable of them. w.

w.
Computed, not measured: crystalline IrS2Br at its relaxed geometry at the GGA-PBE level of DFT.

Lattice parameters (Å, degrees): 5.0872 5.0872 6.6580 67.54 67.54 90.00
Fractional positions:
Ir (0.7500, 0.2500, 0.5000)
Ir (0.0000, 0.0000, 0.0000)
S (0.2092, 0.2092, 0.5817)
S (0.7908, 0.7908, 0.4183)
S (0.5408, 0.0408, 0.9183)
S (0.9592, 0.4592, 0.0817)
Br (0.5000, 0.5000, 0.0000)
Br (0.2500, 0.7500, 0.5000)

Summary:
DOS at the Fermi energy: 1.53 states/eV/f.u.
Calculated volume: 72.50 Å³/f.u.
Total moment: 0.000 μB/atom

x.
Computed, not measured: crystalline IrS2Br at its relaxed geometry at the GGA-PBE level of DFT.

Lattice parameters (Å, degrees): 3.5953 5.7129 9.3478 111.29 90.01 90.00
Fractional positions:
Ir (0.8992, 0.7010, 0.5664)
Ir (0.3990, 0.0059, 0.3065)
S (0.3993, 0.9141, 0.7264)
S (0.3991, 0.4721, 0.4016)
S (0.8991, 0.9950, 0.4577)
S (0.3989, 0.5675, 0.2055)
Br (0.8989, 0.9914, 0.1054)
Br (0.9003, 0.4158, 0.7162)

Summary:
DOS at the Fermi energy: 1.44 states/eV/f.u.
Calculated volume: 89.45 Å³/f.u.
Total moment: 0.000 μB/atom

Name the most stable of them. x.